The following is a PBE+U calculation of a geometry-optimized CoSO5 structure, from Alexandria via LeMat-Bulk.

Unit cell a=6.903 b=7.951 c=6.695 alpha=90.00 beta=113.56 gamma=90.00
Space group C2/c (No. 15)
Inequivalent atoms, fractional coordinates:
Co1 0.000 0.000 0.000 [4 per cell]
S1 0.000 0.328 0.250 [4 per cell]
O1 0.000 0.076 0.750 [4 per cell]
O2 0.098 0.217 0.131 [8 per cell]
O3 0.170 0.431 0.403 [8 per cell]

Output
mass density	3372	kg/m³
energy	-5.787	eV per atom